Crystalline Cd2In2Hg at its relaxed geometry. Source: the Alexandria database, functional GGA-PBE.

Cell lengths 5.8560, 6.2667, 4.5715 Å; angles 90.22, 115.73, 114.39 degrees
Closest atoms and distances in Å follow each position.
Atoms (fractional coordinates):
Cd (0.0947, 0.6741, 0.8027)  2 Cd 2.99-3.00, 2 Hg 3.06-3.25, 5 In 3.12-3.26
Hg (0.5000, 0.0000, 0.5000)  4 Cd 3.06-3.25, 4 In 3.22-3.33
In (0.2460, 0.2249, 0.8776)  5 Cd 3.12-3.26, 2 Hg 3.22-3.33, 1 In 3.26
In (0.7540, 0.7751, 0.1224)  5 Cd 3.12-3.26, 2 Hg 3.22-3.33, 1 In 3.26
Cd (0.9053, 0.3259, 0.1973)  2 Cd 2.99-3.00, 2 Hg 3.06-3.25, 5 In 3.12-3.26

As for the density of states at the Fermi level: 1.8 states/eV/f.u. The energy above the lowest structure with this stoichiometry comes out at 0.000 eV per atom. As for the magnetic moment: 0.0 Bohr magnetons per cell. The formation energy comes out at 54.1 meV/atom.